[1]
Material: LiIrOs
Method: DFT, PBE
State: relaxed

abc: 4.2299 4.2299 5.8672
angles: 90.00 90.00 120.00
Last column: nearest neighbours and their distance in Å.
Sites, in units of the cell vectors:
Li 0.0000 0.0000 0.0000  6 Ir 2.73-2.99, 6 Os 2.74-2.97, 2 Li 2.93
Li 0.0000 0.0000 0.5000  6 Ir 2.73-2.99, 6 Os 2.74-2.97, 2 Li 2.93
Ir 0.3333 0.6667 0.2063  4 Os 2.46-2.49, 3 Li 2.73
Ir 0.6667 0.3333 0.7063  4 Os 2.46-2.49, 3 Li 2.73
Os 0.3333 0.6667 0.7879  4 Ir 2.46-2.49, 3 Li 2.74
Os 0.6667 0.3333 0.2879  4 Ir 2.46-2.49, 3 Li 2.74

As for the space group: P6_3mc. For the density, the calculation gives 14.22 Mg/m³. The value obtained for the total energy is -0.5216 Ry/atom. For the formation energy, the calculation gives 0.7 eV per formula unit.

***

[2]
Material: Pr2TmAl4Pd3
Method: DFT, PBE
State: relaxed

abc: 4.2904 4.2904 11.6310
angles: 90.00 90.00 90.00
Last column: nearest neighbours and their distance in Å.
Sites, in units of the cell vectors:
Pr 0.0000 0.5000 0.2288  8 Al 3.26-3.42, 4 Pd 3.30
Pr 0.5000 0.0000 0.7712  8 Al 3.26-3.42, 4 Pd 3.30
Tm 0.0000 0.0000 0.5000  4 Al 2.91, 4 Pd 3.03
Al 0.0000 0.0000 0.0000  4 Pd 2.55
Al 0.0000 0.5000 0.6688  1 Pd 2.48
Al 0.5000 0.0000 0.3312  1 Pd 2.48
Al 0.5000 0.5000 0.0000  4 Pd 2.55
Pd 0.0000 0.5000 0.8818  5 Al 2.48-2.55
Pd 0.5000 0.0000 0.1182  5 Al 2.48-2.55
Pd 0.5000 0.5000 0.5000  4 Al 2.91, 4 Tm 3.03

As for the space group: P-4m2. For the density, the calculation gives 6.81 Mg/m³. The value obtained for the total energy is -0.3784 Ry/atom. For the formation energy, the calculation gives -6.9 eV per formula unit.

***

[3]
Material: GePdI3
Method: DFT, PBE
State: relaxed

abc: 5.4668 5.4668 5.4668
angles: 90.00 90.00 90.00
Last column: nearest neighbours and their distance in Å.
Sites, in units of the cell vectors:
Ge 0.0000 0.0000 0.0000  12 I 3.87
Pd 0.5000 0.5000 0.5000  6 I 2.73
I 0.0000 0.5000 0.5000  2 Pd 2.73
I 0.5000 0.0000 0.5000  2 Pd 2.73
I 0.5000 0.5000 0.0000  2 Pd 2.73

As for the space group: Pm-3m. For the density, the calculation gives 5.69 Mg/m³. The calculation puts the formation energy from raw total energies at 0.2392 eV per atom. The value obtained for the total energy is -0.1950 Ry/atom.

***

[4]
Material: BaScP2
Method: DFT, PBE
State: relaxed

abc: 8.3751 8.3751 8.3751
angles: 136.88 136.88 62.62
Last column: nearest neighbours and their distance in Å.
Sites, in units of the cell vectors:
Ba 0.0000 0.0000 0.0000  4 P 3.22
Ba 0.7500 0.2500 0.5000  4 P 3.22
Sc 0.2500 0.7500 0.5000  4 P 2.52
Sc 0.5000 0.5000 0.0000  4 P 2.52
P 0.2302 0.6250 0.1052  2 Sc 2.52
P 0.3750 0.4802 0.6052  2 Sc 2.52
P 0.5198 0.1250 0.8948  2 Sc 2.52
P 0.8750 0.7698 0.3948  2 Sc 2.52

As for the space group: I-42d. For the density, the calculation gives 2.99 Mg/m³. The value obtained for the total energy is -0.4021 Ry/atom. For the formation energy, the calculation gives -2.8 eV per formula unit.